Computed, not measured: a geometry-optimized Zr2VPdS structure at the PBE level of DFT.

The structure in POSCAR format:
```
Zr2VPdS
1.0
4.810 0.000 0.000
0.000 4.810 0.000
0.000 0.000 4.390
Zr V Pd S
2 1 1 1
Direct
0.000 0.500 0.000 Zr
0.500 0.000 0.000 Zr
0.000 0.000 0.500 V
0.500 0.500 0.500 Pd
0.500 0.500 0.000 S
```

Properties
Formation energy from raw total energies (meV/atom): -17
DFT total energy (eV per atom): -7.124
SG: P4/mmm
Spin magnetization (μB/atom): 0.005



Computed, not measured: a geometry-optimized La2Ni2P structure at the PBE level of DFT.

The structure in POSCAR format:
```
La2Ni2P
1.0
-2.741 2.741 3.489
2.741 -2.741 3.489
2.741 2.741 -3.489
La Ni P
2 2 1
Direct
0.250 0.750 0.500 La
0.750 0.250 0.500 La
0.166 0.166 0.000 Ni
0.834 0.834 0.000 Ni
0.500 0.500 0.000 P
```

Properties
Energy above the most stable polymorph in this dataset (meV/atom): 30
Energy of formation from the pure elements (eV/atom): -0.561
DFT total energy (eV per atom): -5.926
SG: I4/mmm
Spin magnetization (μB/atom): 0.000



Q: DFT total energy of number 2 (La2Ni2P)?
A: -5.926 eV per atom